(1)
A plane-wave DFT calculation with GGA-PBE was carried out for a relaxed La2Mg12Tl7 crystal.

The value obtained for the formation energy is -135 meV/atom. The calculation puts the volume at 540.02 Å³ per cell. The density comes out at 6.2 g/cm3. Its crystal system is trigonal. The calculation puts the density of states at the Fermi level at 9.385 states/eV/cell.

Unit cell a=4.5498 b=11.7069 c=11.7069 alpha=120.00 beta=90.00 gamma=90.00
Atoms (fractional coordinates):
1 La 0.2612 0.3333 0.6667
2 La 0.7388 0.6667 0.3333
3 Mg 0.2499 0.6120 0.0403
4 Mg 0.2499 0.4283 0.3880
5 Mg 0.2499 0.9597 0.5717
6 Mg 0.7501 0.3880 0.9597
7 Mg 0.7501 0.5717 0.6120
8 Mg 0.7501 0.0403 0.4283
9 Mg 0.2450 0.1091 0.2674
10 Mg 0.2450 0.1583 0.8909
11 Mg 0.2450 0.7326 0.8417
12 Mg 0.7550 0.8909 0.7326
13 Mg 0.7550 0.8417 0.1091
14 Mg 0.7550 0.2674 0.1583
15 Tl 0.5000 0.0000 0.0000
16 Tl 0.2480 0.8630 0.2885
17 Tl 0.2480 0.4256 0.1370
18 Tl 0.2480 0.7115 0.5744
19 Tl 0.7520 0.1370 0.7115
20 Tl 0.7520 0.5744 0.8630
21 Tl 0.7520 0.2885 0.4256



(2)
A plane-wave DFT calculation with GGA-PBE was carried out for a relaxed HfTi2In4 crystal.

The value obtained for the formation energy is -22 meV/atom. The calculation puts the volume at 152.05 Å³ per cell. The density comes out at 8.0 g/cm3. Its crystal system is trigonal. The calculation puts the density of states at the Fermi level at 8.569 states/eV/cell.

Unit cell a=4.8409 b=4.8409 c=7.9963 alpha=72.38 beta=72.38 gamma=60.00
Atoms (fractional coordinates):
1 Hf 0.0000 0.0000 0.0000
2 Ti 0.7285 0.7285 0.8145
3 Ti 0.2715 0.2715 0.1855
4 In 0.8627 0.8627 0.4119
5 In 0.1373 0.1373 0.5881
6 In 0.6023 0.6023 0.1931
7 In 0.3977 0.3977 0.8069



(3)
A plane-wave DFT calculation with GGA-PBE was carried out for a relaxed Ac8GaTe4Se3 crystal.

The calculation puts the volume at 563.78 Å³ per cell. The density comes out at 7.8 g/cm3. Its formation energy without anion corrections is -1531 meV per atom. Its crystal system is trigonal. The calculation puts the density of states at the Fermi level at 9.062 states/eV/cell.

Unit cell a=9.1786 b=9.3697 c=9.1785 alpha=119.33 beta=120.00 gamma=90.00
Atoms (fractional coordinates):
1 Ac 0.2394 0.7261 0.9867
2 Ac 0.2394 0.7261 0.4788
3 Ac 0.2576 0.2727 0.5151
4 Ac 0.7473 0.7261 0.9867
5 Ac 0.2527 0.2739 0.0133
6 Ac 0.7424 0.7273 0.4849
7 Ac 0.7606 0.2739 0.5212
8 Ac 0.7606 0.2739 0.0133
9 Ga 0.0000 0.5000 0.0000
10 Te 0.5000 0.0000 0.0000
11 Te 0.5000 0.0000 0.5000
12 Te 0.0000 0.0000 0.0000
13 Te 0.0000 0.0000 0.5000
14 Se 0.5000 0.5000 0.0000
15 Se 0.5000 0.5000 0.5000
16 Se 0.0000 0.5000 0.5000



(4)
A plane-wave DFT calculation with GGA-PBE was carried out for a relaxed HfHgP2S crystal.

The calculation puts the volume at 113.66 Å³ per cell. The value obtained for the energy above the most stable polymorph in this dataset is 946 meV per atom. The density comes out at 6.9 g/cm3. Its formation energy without anion corrections is 1058 meV per atom. Its crystal system is tetragonal. The calculation puts the density of states at the Fermi level at 3.539 states/eV/cell.

Unit cell a=4.8454 b=4.8454 c=4.8411 alpha=90.00 beta=90.00 gamma=90.00
Atoms (fractional coordinates):
1 P 0.0000 0.5000 0.0000
2 P 0.5000 0.0000 0.0000
3 S 0.0000 0.0000 0.5000
4 Hf 0.5000 0.5000 0.5000
5 Hg 0.0000 0.0000 0.0000



(5)
A plane-wave DFT calculation with GGA-PBE was carried out for a relaxed AlOs crystal.

The value obtained for the formation energy is -139 meV/atom. The calculation puts the volume at 60.51 Å³ per cell. The density comes out at 11.9 g/cm3. Its crystal system is tetragonal. The calculation puts the density of states at the Fermi level at 1.709 states/eV/cell.

Unit cell a=2.7777 b=2.7777 c=7.8421 alpha=90.00 beta=90.00 gamma=90.00
Atoms (fractional coordinates):
1 Os 0.2500 0.2500 0.6112
2 Os 0.7500 0.7500 0.3888
3 Al 0.2500 0.2500 0.1502
4 Al 0.7500 0.7500 0.8498



(6)
A plane-wave DFT calculation with GGA-PBE was carried out for a relaxed AsC3 crystal.

The value obtained for the formation energy is 794 meV/atom. The calculation puts the volume at 52.16 Å³ per cell. The value obtained for the energy above the most stable polymorph in this dataset is 32 meV per atom. The density comes out at 3.5 g/cm3. Its crystal system is triclinic. The calculation puts the density of states at the Fermi level at 0.479 states/eV/cell.

Unit cell a=2.4586 b=3.7464 c=6.2087 alpha=75.52 beta=88.79 gamma=70.75
Atoms (fractional coordinates):
1 As 0.6649 0.7172 0.1010
2 C 0.3966 0.2965 0.6983
3 C 0.6065 0.8697 0.7653
4 C 0.7931 0.5035 0.6980



(7)
A plane-wave DFT calculation with GGA-PBE was carried out for a relaxed LiTe crystal.

The calculation puts the volume at 93.33 Å³ per cell. The value obtained for the energy above the most stable polymorph in this dataset is 179 meV per atom. The density comes out at 4.8 g/cm3. Its formation energy without anion corrections is -542 meV per atom. Its crystal system is tetragonal. The calculation puts the density of states at the Fermi level at 2.375 states/eV/cell.

Unit cell a=6.2615 b=6.2615 c=6.2615 alpha=141.77 beta=141.77 gamma=55.18
Atoms (fractional coordinates):
1 Li 0.0000 0.0000 0.0000
2 Li 0.2500 0.7500 0.5000
3 Te 0.5000 0.5000 0.0000
4 Te 0.7500 0.2500 0.5000



(8)
A plane-wave DFT calculation with GGA-PBE was carried out for a relaxed LiNdU2S4 crystal.

The calculation puts the volume at 170.72 Å³ per cell. The density comes out at 7.3 g/cm3. Its formation energy without anion corrections is -1512 meV per atom. Its crystal system is monoclinic. The calculation puts the density of states at the Fermi level at 9.009 states/eV/cell.

Unit cell a=3.8652 b=6.6965 c=6.9643 alpha=108.72 beta=90.00 gamma=90.00
Atoms (fractional coordinates):
1 Li 0.5000 0.5000 0.0000
2 Nd 0.0000 0.0000 0.0000
3 U 0.5000 0.0000 0.5000
4 U 0.0000 0.5000 0.5000
5 S 0.5000 0.2627 0.2536
6 S 0.5000 0.7373 0.7464
7 S 0.0000 0.2606 0.7519
8 S 0.0000 0.7394 0.2481



What is the density of states at the Fermi level in the first record? 9.385 states/eV/cell



Which formula does entry 1 have? La2Mg12Tl7



Look up the density of states at the Fermi level of the fourth one. 3.539 states/eV/cell



What is the volume in the first record? 540.02 Å³ per cell